Compound: Rb2TmMoO6
Source: Alexandria via LeMat-Bulk
Functional: PBE with a Hubbard U
Structure: optimized geometry

Computed properties:
DOS at the Fermi energy ... 1.7 states/eV per cell
Raw total energy ... -6.225 eV/atom

abc: 6.5300 6.5300 5.7761
angles: 90.00 90.00 120.00
Space group P-3m1 (No. 164)
Symmetry-distinct sites (fractional):
1 Rb 0.3333 0.6667 0.1165
2 Tm 0.0000 0.0000 0.5000
3 Mo 0.0000 0.0000 0.0000
4 O 0.1344 0.2688 0.7882